Y4Se3S2: optimized geometry, GGA-PBE.

extended XYZ file:
```
9
Lattice="-1.105 3.603 1.483 0.057 -0.595 7.018 7.752 3.735 2.234" Properties=species:S:1:pos:R:3 pbc="T T T"
S 4.081 4.387 3.444
S 2.623 2.356 7.291
Se 0.000 0.000 0.000
Se 5.268 5.515 7.117
Se 1.436 1.227 3.618
Y 6.502 4.623 4.674
Y 1.557 3.956 2.609
Y 5.146 2.786 8.126
Y 0.201 2.119 6.061
```

Calculated values
**Formation energy (no corrections)**: -186.82 kJ/mol of atoms
**D(E_F)**: 2.97 states/eV/f.u.
**Total DFT energy (no corrections)**: -61.99 eV/cell

=====

Y3SeS: optimized geometry, GGA-PBE.

extended XYZ file:
```
5
Lattice="5.170 0.000 0.000 0.000 5.170 0.000 0.000 0.000 5.170" Properties=species:S:1:pos:R:3 pbc="T T T"
Y 0.000 2.585 0.000
Y 2.585 0.000 0.000
Y 0.000 0.000 2.585
Se 2.585 2.585 2.585
S 0.000 0.000 0.000
```

Calculated values
**Energy relative to the lowest polymorph listed for this composition**: 0.000 eV per atom
**Formation energy (no corrections)**: -72.84 kJ/mol of atoms
**D(E_F)**: 8.03 states/eV/f.u.
**Total DFT energy (no corrections)**: -30.78 eV/cell

=====

Y5Se2S2: optimized geometry, GGA-PBE.

extended XYZ file:
```
18
Lattice="7.546 0.000 0.000 0.000 6.982 -3.993 0.000 -0.624 8.019" Properties=species:S:1:pos:R:3 pbc="T T T"
Se 1.114 4.127 2.613
Se 6.432 2.231 1.413
Se 2.659 0.948 0.600
Se 4.887 5.411 3.426
Y 1.118 1.063 3.080
Y 4.891 -0.060 2.369
Y 1.118 3.239 -0.356
Y 6.428 5.295 0.945
Y 3.773 3.179 2.013
Y 0.000 0.000 0.000
Y 2.655 6.418 1.657
Y 6.428 3.119 4.382
Y 4.891 2.116 -1.067
Y 2.655 4.242 5.093
S 0.000 0.843 5.702
S 3.773 1.712 4.330
S 3.773 4.646 -0.304
S 0.000 5.515 -1.676
```

Calculated values
**Formation energy (no corrections)**: -136.49 kJ/mol of atoms
**D(E_F)**: 5.21 states/eV/f.u.
**Total DFT energy (no corrections)**: -120.55 eV/cell

=====

YSe2S: optimized geometry, GGA-PBE.

extended XYZ file:
```
4
Lattice="0.267 -2.179 4.469 -4.134 -0.673 2.693 -1.830 -4.585 0.648" Properties=species:S:1:pos:R:3 pbc="T T T"
Se -4.272 -5.577 5.858
Se -1.424 -1.859 1.953
Y -2.848 -3.718 3.905
S 0.000 0.000 0.000
```

Calculated values
**Formation energy (no corrections)**: -42.97 kJ/mol of atoms
**D(E_F)**: 5.21 states/eV/f.u.
**Total DFT energy (no corrections)**: -19.34 eV/cell

=====

YSe2S2: optimized geometry, GGA-PBE.

extended XYZ file:
```
5
Lattice="-0.246 3.581 -1.058 -2.677 0.570 2.552 4.381 4.150 6.411" Properties=species:S:1:pos:R:3 pbc="T T T"
S 2.139 5.948 6.401
S -0.680 2.353 1.504
Y 0.000 0.000 0.000
Se 1.337 4.903 3.050
Se 0.121 3.398 4.855
```

Calculated values
**Energy relative to the lowest polymorph listed for this composition**: 0.000 eV per atom
**Formation energy (no corrections)**: -64.40 kJ/mol of atoms
**D(E_F)**: 1.63 states/eV/f.u.
**Total DFT energy (no corrections)**: -25.03 eV/cell

=====

Y4Se2S: optimized geometry, GGA-PBE.

extended XYZ file:
```
7
Lattice="3.889 0.000 0.565 1.904 3.392 0.565 0.043 0.025 13.371" Properties=species:S:1:pos:R:3 pbc="T T T"
S 0.000 0.000 0.000
Se 3.381 1.980 4.062
Se 2.454 1.437 10.439
Y 1.703 0.997 1.943
Y 4.132 2.419 12.559
Y 0.786 0.460 8.253
Y 5.049 2.956 6.248
```

Calculated values
**Formation energy (no corrections)**: -151.72 kJ/mol of atoms
**D(E_F)**: 5.41 states/eV/f.u.
**Total DFT energy (no corrections)**: -47.96 eV/cell

=====

YSeS: optimized geometry, GGA-PBE.

extended XYZ file:
```
6
Lattice="-0.892 -0.994 3.736 3.369 -2.079 0.251 2.695 8.240 0.729" Properties=species:S:1:pos:R:3 pbc="T T T"
S 1.455 2.480 1.007
S 3.717 2.687 3.709
Y 2.389 0.424 2.790
Y 2.783 4.743 1.927
Se 1.685 -1.040 0.126
Se -0.446 -0.497 1.868
```

Calculated values
**Energy relative to the lowest polymorph listed for this composition**: 0.052 eV per atom
**Formation energy (no corrections)**: -155.74 kJ/mol of atoms
**D(E_F)**: 0.76 states/eV/f.u.
**Total DFT energy (no corrections)**: -37.84 eV/cell

=====

Y3Se3S: optimized geometry, GGA-PBE.

extended XYZ file:
```
14
Lattice="0.334 -7.289 -0.467 6.349 2.452 2.671 -2.759 -0.506 6.858" Properties=species:S:1:pos:R:3 pbc="T T T"
Se 4.960 0.202 1.946
Se 3.993 0.617 5.591
Se 3.252 -3.277 3.941
Se -0.068 -5.959 3.472
Se 1.724 -5.039 0.258
Se 0.673 -2.065 5.122
Y 1.355 -4.868 5.725
Y 5.677 -4.647 3.543
Y 3.174 -1.923 6.674
Y -1.753 -0.696 5.520
Y 0.751 -3.420 2.389
Y 2.569 -0.475 3.338
S 1.308 -1.186 1.174
S 2.616 -4.157 7.889
```

Calculated values
**Formation energy (no corrections)**: -162.72 kJ/mol of atoms
**D(E_F)**: 2.99 states/eV/f.u.
**Total DFT energy (no corrections)**: -91.56 eV/cell

=====

YSe3S: optimized geometry, GGA-PBE.

extended XYZ file:
```
5
Lattice="5.553 0.000 0.000 0.000 5.553 0.000 0.000 0.000 5.553" Properties=species:S:1:pos:R:3 pbc="T T T"
Se 0.000 2.776 0.000
Se 0.000 0.000 2.776
Se 2.776 0.000 0.000
Y 0.000 0.000 0.000
S 2.776 2.776 2.776
```

Calculated values
**Energy relative to the lowest polymorph listed for this composition**: 0.520 eV per atom
**Formation energy (no corrections)**: 13.46 kJ/mol of atoms
**D(E_F)**: 3.45 states/eV/f.u.
**Total DFT energy (no corrections)**: -20.35 eV/cell

=====

YSeS: optimized geometry, GGA-PBE.

extended XYZ file:
```
6
Lattice="4.610 0.000 0.000 -2.305 5.939 -0.335 0.000 -2.720 7.464" Properties=species:S:1:pos:R:3 pbc="T T T"
Y 2.305 3.030 1.388
Y 0.000 0.190 5.742
S 0.000 1.895 0.759
S 2.305 1.325 6.371
Se 0.000 -0.391 2.941
Se 2.305 3.610 4.189
```

Calculated values
**Energy relative to the lowest polymorph listed for this composition**: 0.222 eV per atom
**Formation energy (no corrections)**: -139.31 kJ/mol of atoms
**Total DFT energy (no corrections)**: -36.82 eV/cell

=====

YSe2S: optimized geometry, GGA-PBE.

extended XYZ file:
```
4
Lattice="2.913 -7.813 0.258 6.281 -5.416 0.894 3.697 -6.275 4.068" Properties=species:S:1:pos:R:3 pbc="T T T"
S 0.000 0.000 0.000
Se 11.579 -17.519 4.688
Se 1.311 -1.984 0.531
Y 6.445 -9.752 2.610
```

Calculated values
**Formation energy (no corrections)**: -73.94 kJ/mol of atoms
**D(E_F)**: 3.43 states/eV/f.u.
**Total DFT energy (no corrections)**: -20.63 eV/cell

=====

YSeS: optimized geometry, GGA-PBE.

extended XYZ file:
```
6
Lattice="3.964 0.000 -0.829 -0.266 5.284 -1.274 -0.538 -1.066 7.317" Properties=species:S:1:pos:R:3 pbc="T T T"
Se 1.908 1.470 -0.769
Se 1.789 3.815 -1.334
Y 2.886 1.087 3.906
Y 0.274 3.131 1.308
S 2.605 3.551 2.562
S 0.555 0.667 2.652
```

Calculated values
**Energy relative to the lowest polymorph listed for this composition**: 0.000 eV per atom
**Formation energy (no corrections)**: -160.72 kJ/mol of atoms
**D(E_F)**: 0.07 states/eV/f.u.
**Total DFT energy (no corrections)**: -38.15 eV/cell

=====

Copy entry 1 word for word.
Y4Se3S2: optimized geometry, GGA-PBE.

extended XYZ file:
```
9
Lattice="-1.105 3.603 1.483 0.057 -0.595 7.018 7.752 3.735 2.234" Properties=species:S:1:pos:R:3 pbc="T T T"
S 4.081 4.387 3.444
S 2.623 2.356 7.291
Se 0.000 0.000 0.000
Se 5.268 5.515 7.117
Se 1.436 1.227 3.618
Y 6.502 4.623 4.674
Y 1.557 3.956 2.609
Y 5.146 2.786 8.126
Y 0.201 2.119 6.061
```

Calculated values
**Formation energy (no corrections)**: -186.82 kJ/mol of atoms
**D(E_F)**: 2.97 states/eV/f.u.
**Total DFT energy (no corrections)**: -61.99 eV/cell